The following is a DFT calculation (PBE) of crystalline Ac2TaWN6 at its relaxed geometry.

a = 5.8016 Å, b = 5.8016 Å, c = 5.8219 Å
α = 120.10°, β = 120.10°, γ = 59.95°
Sites, in units of the cell vectors:
Ac (0.2499, 0.2499, 0.2494)
Ac (0.7501, 0.7501, 0.7506)
Ta (0.0000, 0.0000, 0.5000)
W (0.5000, 0.5000, 0.0000)
N (0.2364, 0.7299, 0.2298)
N (0.2533, 0.2533, 0.7201)
N (0.2701, 0.7636, 0.7702)
N (0.7299, 0.2364, 0.2298)
N (0.7467, 0.7467, 0.2799)
N (0.7636, 0.2701, 0.7702)

Space-group type = C2/m
E_form (uncorrected) = -10.18 eV/f.u.
Fermi-level density of states = 6.6 states/eV per cell